Density functional theory data (GGA-PBE) for ThSc5Zn4 after structural relaxation.

Summary:
Total DFT energy (no corrections) = -47.2 eV/f.u.
Formation energy = -297.7 meV/atom
ρ = 5.79 g/cm³

Unit cell a=3.371 b=3.371 c=18.120 alpha=90.00 beta=90.00 gamma=90.00
Space group P4/mmm (No. 123)
Inequivalent atoms, fractional coordinates:
Th 0.000 0.000 0.000 (multiplicity 1)
Sc 0.500 0.500 0.132 (multiplicity 2)
Sc 0.500 0.500 0.317 (multiplicity 2)
Sc 0.500 0.500 0.500 (multiplicity 1)
Zn 0.000 0.000 0.224 (multiplicity 2)
Zn 0.000 0.000 0.407 (multiplicity 2)